Model 1:
The following is a DFT calculation (PBE) of Ni2BRh2 after structural relaxation.

Properties
As for the symmetry: P4/mbm (127). The calculation puts the magnetization at 1.87 Bohr magnetons per cell.

Lattice parameters (Å, degrees): 5.203 5.203 4.321 90.00 90.00 90.00
Positions (direct):
Ni: 0.158 0.342 0.000
Ni: 0.342 0.842 0.000
Ni: 0.658 0.158 0.000
Ni: 0.842 0.658 0.000
B: 0.000 0.000 0.000
B: 0.500 0.500 0.000
Rh: 0.174 0.674 0.500
Rh: 0.326 0.174 0.500
Rh: 0.674 0.826 0.500
Rh: 0.826 0.326 0.500

Model 2:
The following is a DFT calculation (PBE) of Ni2BRh2 after structural relaxation.

Properties
As for the symmetry: P4/mbm (127). The calculation puts the magnetization at 5.61 Bohr magnetons per cell.

Lattice parameters (Å, degrees): 5.558 5.558 4.073 90.00 90.00 90.00
Positions (direct):
Ni: 0.152 0.348 0.000
Ni: 0.348 0.848 0.000
Ni: 0.652 0.152 0.000
Ni: 0.848 0.652 0.000
B: 0.000 0.000 0.500
B: 0.500 0.500 0.500
Rh: 0.161 0.661 0.500
Rh: 0.339 0.161 0.500
Rh: 0.661 0.839 0.500
Rh: 0.839 0.339 0.500

Of them, the most stable is model 1 and the least stable is model 2.

Model 1:
The following is a DFT calculation (PBE) of NiBRh3 after structural relaxation.

Properties
As for the symmetry: C2/m (12). The calculation puts the magnetization at 3.77 Bohr magnetons per cell.

Lattice parameters (Å, degrees): 4.805 4.805 9.616 102.75 102.75 35.26
Positions (direct):
Ni: 0.140 0.140 0.443
Ni: 0.860 0.860 0.557
B: 0.258 0.258 0.147
B: 0.742 0.742 0.853
Rh: 0.118 0.118 0.931
Rh: 0.372 0.372 0.785
Rh: 0.397 0.397 0.351
Rh: 0.603 0.603 0.649
Rh: 0.628 0.628 0.215
Rh: 0.882 0.882 0.069

Model 2:
The following is a DFT calculation (PBE) of NiBRh3 after structural relaxation.

Properties
As for the symmetry: P2_1/c (14). The calculation puts the magnetization at 0.00 Bohr magnetons per cell.

Lattice parameters (Å, degrees): 7.153 4.851 9.367 90.00 129.75 90.00
Positions (direct):
Ni: 0.140 0.215 0.120
Ni: 0.140 0.285 0.620
Ni: 0.860 0.715 0.380
Ni: 0.860 0.785 0.880
B: 0.359 0.007 0.801
B: 0.359 0.493 0.301
B: 0.641 0.507 0.699
B: 0.641 0.993 0.199
Rh: 0.081 0.739 0.735
Rh: 0.081 0.761 0.235
Rh: 0.331 0.746 0.610
Rh: 0.331 0.754 0.110
Rh: 0.397 0.227 0.500
Rh: 0.397 0.273 0.000
Rh: 0.603 0.727 0.000
Rh: 0.603 0.773 0.500
Rh: 0.669 0.246 0.890
Rh: 0.669 0.254 0.390
Rh: 0.919 0.239 0.765
Rh: 0.919 0.261 0.265

Model 3:
The following is a DFT calculation (PBE) of NiBRh3 after structural relaxation.

Properties
As for the symmetry: Pm-3m (221). The calculation puts the magnetization at 2.66 Bohr magnetons per cell.

Lattice parameters (Å, degrees): 4.428 4.428 4.428 90.00 90.00 90.00
Positions (direct):
Ni: 0.000 0.000 0.000
B: 0.500 0.500 0.500
Rh: 0.000 0.000 0.500
Rh: 0.000 0.500 0.000
Rh: 0.500 0.000 0.000

Model 4:
The following is a DFT calculation (PBE) of NiBRh3 after structural relaxation.

Properties
As for the symmetry: Pm-3m (221). The calculation puts the magnetization at 2.50 Bohr magnetons per cell.

Lattice parameters (Å, degrees): 4.049 4.049 4.049 90.00 90.00 90.00
Positions (direct):
Ni: 0.000 0.000 0.000
B: 0.500 0.500 0.500
Rh: 0.000 0.500 0.500
Rh: 0.500 0.000 0.500
Rh: 0.500 0.500 0.000

Of them, the most stable is model 1 and the least stable is model 3.

Model 1:
The following is a DFT calculation (PBE) of Ni3BRh after structural relaxation.

Properties
As for the symmetry: Pm-3m (221). The calculation puts the magnetization at 3.79 Bohr magnetons per cell.

Lattice parameters (Å, degrees): 4.510 4.510 4.510 90.00 90.00 90.00
Positions (direct):
Ni: 0.000 0.000 0.500
Ni: 0.000 0.500 0.000
Ni: 0.500 0.000 0.000
B: 0.500 0.500 0.500
Rh: 0.000 0.000 0.000

Model 2:
The following is a DFT calculation (PBE) of Ni3BRh after structural relaxation.

Properties
As for the symmetry: I-4m2 (119). The calculation puts the magnetization at 3.01 Bohr magnetons per cell.

Lattice parameters (Å, degrees): 7.230 7.230 7.230 145.00 145.00 50.34
Positions (direct):
Ni: 0.122 0.372 0.750
Ni: 0.197 0.197 0.000
Ni: 0.621 0.372 0.250
Ni: 0.628 0.379 0.750
Ni: 0.628 0.878 0.250
Ni: 0.803 0.803 0.000
B: 0.500 0.500 0.000
B: 0.750 0.250 0.500
Rh: 0.050 0.550 0.500
Rh: 0.450 0.950 0.500

Model 3:
The following is a DFT calculation (PBE) of Ni3BRh after structural relaxation.

Properties
As for the symmetry: Pm-3m (221). The calculation puts the magnetization at 0.00 Bohr magnetons per cell.

Lattice parameters (Å, degrees): 3.821 3.821 3.821 90.00 90.00 90.00
Positions (direct):
Ni: 0.000 0.000 0.500
Ni: 0.000 0.500 0.000
Ni: 0.500 0.000 0.000
B: 0.000 0.000 0.000
Rh: 0.500 0.500 0.500

Of them, the most stable is model 3 and the least stable is model 1.